1.
VASP calculation (PBE) on a geometry-optimized InAsSe2 structure.

POSCAR file:
```
InAsSe2
1.0
-2.0519 -5.3716 3.3270
-2.6582 -5.4846 -2.6432
5.0998 4.2266 -0.5109
In Se As
1 2 1
direct
0.2500 0.7500 0.5000
0.9073 0.9073 0.0000
0.5927 0.5927 0.0000
0.7500 0.2500 0.5000
```

Properties
E: -3.558 eV/atom
ΔE_f (raw): 0.0313 eV/atom
Space-group type: No. 71

2.
VASP calculation (PBE) on a geometry-optimized LaErSi2Pt5 structure.

POSCAR file:
```
LaErSi2Pt5
1.0
4.2691 0.0000 0.0000
0.0000 4.2691 0.0000
0.0000 0.0000 8.9628
Er Pt Si La
1 5 2 1
direct
0.0000 0.0000 0.0000
0.5000 0.5000 0.5000
0.5000 0.0000 0.2553
0.0000 0.5000 0.7447
0.5000 0.0000 0.7447
0.0000 0.5000 0.2553
0.5000 0.5000 0.8690
0.5000 0.5000 0.1310
0.0000 0.0000 0.5000
```

Properties
E: -6.645 eV/atom
ΔE_f (raw): -1.0295 eV/atom
Space-group type: No. 123

3.
VASP calculation (PBE) on a geometry-optimized Tb3Ce4YS8 structure.

POSCAR file:
```
Tb3Ce4YS8
1.0
-2.9181 -3.0322 -6.7107
7.3264 -2.3317 -2.1322
-2.9682 -2.2612 6.9873
S Y Tb Ce
8 1 3 4
direct
0.2464 0.7400 0.4929
0.7536 0.2600 0.0064
0.7468 0.7403 0.4935
0.2528 0.2600 0.0064
0.7472 0.7400 0.9936
0.2532 0.2597 0.5065
0.7536 0.2600 0.5071
0.2464 0.7400 0.9936
0.0000 0.5000 0.0000
0.0000 0.5000 0.5000
0.5000 0.5000 0.5000
0.5000 0.5000 0.0000
0.0000 0.0000 0.5000
0.5000 0.0000 0.5000
0.5000 0.0000 0.0000
0.0000 0.0000 0.0000
```

Properties
E: -6.855 eV/atom
ΔE_f (raw): -2.0357 eV/atom
Space-group type: No. 166

4.
VASP calculation (PBE) on a geometry-optimized RbIn2Ga8 structure.

POSCAR file:
```
RbIn2Ga8
1.0
5.4903 -1.7771 0.0000
-1.7771 5.4903 0.0000
0.0000 0.0000 11.0691
Ga In Rb
8 2 1
direct
0.5000 0.0000 0.2494
0.5000 0.5000 0.2371
0.0000 0.5000 0.2494
0.0000 0.5000 0.7506
0.5000 0.0000 0.5000
0.5000 0.5000 0.7629
0.5000 0.0000 0.7506
0.0000 0.5000 0.5000
0.0000 0.0000 0.6366
0.0000 0.0000 0.3634
0.0000 0.0000 0.0000
```

Properties
E: -2.720 eV/atom
ΔE_f: 0.07 eV per atom
Space-group type: No. 65

5.
VASP calculation (PBE) on a geometry-optimized ErMgTlI6 structure.

POSCAR file:
```
ErMgTlI6
1.0
-1.3151 7.0526 -2.8198
-5.8958 -4.7936 1.2967
-1.3002 5.4511 14.2402
Mg I Er Tl
2 12 2 2
direct
0.6667 0.3333 0.7500
0.3333 0.6667 0.2500
0.0065 0.6343 0.3624
0.3657 0.9935 0.1376
0.0065 0.3722 0.1376
0.6343 0.6278 0.6376
0.9935 0.3657 0.6376
0.6343 0.0065 0.8624
0.3722 0.3657 0.8624
0.9935 0.6278 0.8624
0.3722 0.0065 0.6376
0.6278 0.6343 0.1376
0.6278 0.9935 0.3624
0.3657 0.3722 0.3624
0.6667 0.3333 0.2500
0.3333 0.6667 0.7500
0.0000 0.0000 0.0000
0.0000 0.0000 0.5000
```

Properties
E: -3.077 eV/atom
ΔE_f (raw): -1.0961 eV/atom
Space-group type: No. 163

6.
VASP calculation (PBE) on a geometry-optimized ZnHPd2Ru structure.

POSCAR file:
```
ZnHPd2Ru
1.0
3.9282 0.0000 0.0000
0.0000 3.9282 0.0000
0.0000 0.0000 3.9818
Ru H Pd Zn
1 1 2 1
direct
0.0000 0.0000 0.5000
0.0000 0.0000 0.0000
0.5000 0.0000 0.0000
0.0000 0.5000 0.0000
0.5000 0.5000 0.5000
```

Properties
E: -4.871 eV/atom
Space-group type: No. 123